Density functional theory data (PBE) for a relaxed structure of Ba2Zn7In.

As for the energy of formation: -0.201 eV per atom. As for the volume: 23.55 Å³ per atom.

The space group is P-4m2 (No. 115) and the conventional cell measures 4.620, 4.620 and 11.037 Å, with angles of 90.00, 90.00 and 90.00 degrees. The asymmetric unit holds Ba at (0.000, 0.500, 0.241), Zn at (0.000, 0.000, 0.000), Zn at (0.000, 0.500, 0.640), Zn at (0.000, 0.500, 0.884), Zn at (0.500, 0.500, 0.000), Zn at (0.500, 0.500, 0.500) and In at (0.000, 0.000, 0.500).

Density functional theory data (PBE) for a relaxed structure of Na2HgP2H2.

As for the volume: 19.90 Å³ per atom.

The space group is C2/m (No. 12) and the conventional cell measures 9.591, 3.410 and 8.520 Å, with angles of 90.00, 90.89 and 90.00 degrees. The asymmetric unit holds Na at (0.219, 0.000, 0.244), Hg at (0.000, 0.500, 0.500), P at (0.003, 0.500, 0.871) and H at (0.039, 0.000, 0.857).

Calculated E, -17.52, -41.05 eV for the cell shown (same order as the records).
Calculated total magnetic moment, 0.0000, 0.0000 μB/atom (same order as the records).